(1)
# Ca3YTl2

A geometry-optimized Ca3YTl2 structure (PBE, the Alexandria database).

Computed properties:
**DOS(E_F)**: 5.63 states/eV/f.u.
**Size of the total moment**: 0.0000 μB per atom

Cell: 5.3041 7.1774 9.8112 Å, 90.00 90.00 90.00°
Fractional coordinates of all 12 atoms:
Tl 0.0000 0.2812 0.6328
Tl 0.0000 0.7812 0.3672
Tl 0.5000 0.2170 0.1484
Tl 0.5000 0.7170 0.8516
Ca 0.0000 0.3306 0.3147
Ca 0.5000 0.6729 0.1809
Ca 0.5000 0.1729 0.8191
Ca 0.0000 0.4692 0.9460
Ca 0.0000 0.9692 0.0540
Ca 0.0000 0.8306 0.6853
Y 0.5000 0.5291 0.5501
Y 0.5000 0.0291 0.4499

---

(2)
# CaY2Tl

A geometry-optimized CaY2Tl structure (PBE, the Alexandria database).

Computed properties:
**DOS(E_F)**: 5.57 states/eV/f.u.
**Size of the total moment**: 0.0913 μB per atom

Cell: 5.2297 5.2297 6.6557 Å, 66.87 66.87 60.00°
Last column: magnetic moment on the atom in μB.
Fractional coordinates of all 4 atoms:
Tl 0.6836 0.6836 0.9491  0.01
Y 0.2755 0.2755 0.1736  0.07
Y 0.0515 0.0515 0.8454  0.06
Ca 0.4894 0.4894 0.5319  0.02

---

(3)
# CaY2Tl

A geometry-optimized CaY2Tl structure (PBE, the Alexandria database).

Computed properties:
**DOS(E_F)**: 4.01 states/eV/f.u.
**Size of the total moment**: 0.0000 μB per atom

Cell: 5.5262 5.5262 5.5262 Å, 60.00 60.00 60.00°
Fractional coordinates of all 4 atoms:
Y 0.7500 0.7500 0.7500
Y 0.2500 0.2500 0.2500
Ca 0.0000 0.0000 0.0000
Tl 0.5000 0.5000 0.5000

---

(4)
# Ca4YTl

A geometry-optimized Ca4YTl structure (PBE, the Alexandria database).

Computed properties:
**DOS(E_F)**: 9.01 states/eV/f.u.
**Size of the total moment**: 0.2720 μB per atom

Cell: 6.8387 6.8387 6.8387 Å, 60.00 60.00 60.00°
Last column: magnetic moment on the atom in μB.
Fractional coordinates of all 6 atoms:
Ca 0.3744 0.8767 0.3744  0.07
Ca 0.3744 0.3744 0.3744  0.07
Ca 0.8767 0.3744 0.3744  0.07
Ca 0.3744 0.3744 0.8767  0.07
Tl 0.7500 0.7500 0.7500  0.01
Y 0.0000 0.0000 0.0000  0.28

---

(5)
# CaY4Tl5

A geometry-optimized CaY4Tl5 structure (PBE, the Alexandria database).

Computed properties:
**DOS(E_F)**: 6.38 states/eV/f.u.
**Size of the total moment**: 0.0000 μB per atom

Cell: 3.7852 3.7852 19.3993 Å, 90.00 90.00 90.00°
Fractional coordinates of all 10 atoms:
Y 0.0000 0.0000 0.7984
Y 0.0000 0.0000 0.2016
Y 0.0000 0.0000 0.5990
Y 0.0000 0.0000 0.4010
Tl 0.5000 0.5000 0.3025
Tl 0.5000 0.5000 0.8962
Tl 0.5000 0.5000 0.5000
Tl 0.5000 0.5000 0.1038
Tl 0.5000 0.5000 0.6975
Ca 0.0000 0.0000 0.0000

---

(6)
# Ca2YTl

A geometry-optimized Ca2YTl structure (PBE, the Alexandria database).

Computed properties:
**DOS(E_F)**: 3.65 states/eV/f.u.
**Size of the total moment**: 0.0000 μB per atom

Cell: 6.2982 6.2982 6.2982 Å, 134.42 134.42 66.43°
Fractional coordinates of all 4 atoms:
Ca 0.0000 0.0000 0.0000
Ca 0.5000 0.5000 0.0000
Y 0.7500 0.2500 0.5000
Tl 0.2500 0.7500 0.5000

---

(7)
# CaY2Tl

A geometry-optimized CaY2Tl structure (PBE, the Alexandria database).

Computed properties:
**DOS(E_F)**: 4.73 states/eV/f.u.
**Size of the total moment**: 0.0000 μB per atom

Cell: 6.1976 6.1976 6.1976 Å, 134.27 134.27 66.66°
Fractional coordinates of all 4 atoms:
Ca 0.5000 0.5000 0.0000
Y 0.2500 0.7500 0.5000
Y 0.0000 0.0000 0.0000
Tl 0.7500 0.2500 0.5000

---

(8)
# CaY4Tl

A geometry-optimized CaY4Tl structure (PBE, the Alexandria database).

Computed properties:
**DOS(E_F)**: 6.20 states/eV/f.u.
**Size of the total moment**: 0.0000 μB per atom

Cell: 6.5605 6.5605 6.5605 Å, 60.00 60.00 60.00°
Fractional coordinates of all 6 atoms:
Y 0.8757 0.3748 0.3748
Y 0.3748 0.3748 0.8757
Y 0.3748 0.8757 0.3748
Y 0.3748 0.3748 0.3748
Tl 0.0000 0.0000 0.0000
Ca 0.7500 0.7500 0.7500

---

(9)
# CaY5Tl6

A geometry-optimized CaY5Tl6 structure (PBE, the Alexandria database).

Computed properties:
**DOS(E_F)**: 8.90 states/eV/f.u.
**Size of the total moment**: 0.0000 μB per atom

Cell: 5.3833 9.3459 9.3459 Å, 119.99 106.80 106.80°
Fractional coordinates of all 12 atoms:
Y 0.0000 0.3321 0.6679
Y 0.5000 0.5000 0.5000
Y 0.5000 0.8370 0.1630
Y 0.0000 0.6679 0.3321
Y 0.5000 0.1630 0.8370
Tl 0.2521 0.4195 0.0847
Tl 0.2521 0.0847 0.4195
Tl 0.7479 0.5805 0.9153
Tl 0.7545 0.2543 0.2543
Tl 0.2455 0.7457 0.7457
Tl 0.7479 0.9153 0.5805
Ca 0.0000 0.0000 0.0000

---

(10)
# Ca4YTl5

A geometry-optimized Ca4YTl5 structure (PBE, the Alexandria database).

Computed properties:
**DOS(E_F)**: 6.05 states/eV/f.u.
**Size of the total moment**: 0.0000 μB per atom

Cell: 3.8775 3.8775 19.2525 Å, 90.00 90.00 90.00°
Fractional coordinates of all 10 atoms:
Tl 0.5000 0.5000 0.0961
Tl 0.5000 0.5000 0.2986
Tl 0.5000 0.5000 0.9039
Tl 0.5000 0.5000 0.7014
Tl 0.5000 0.5000 0.5000
Ca 0.0000 0.0000 0.1985
Ca 0.0000 0.0000 0.3986
Ca 0.0000 0.0000 0.8015
Ca 0.0000 0.0000 0.6014
Y 0.0000 0.0000 0.0000

---

(11)
# Ca2YTl2

A geometry-optimized Ca2YTl2 structure (PBE, the Alexandria database).

Computed properties:
**DOS(E_F)**: 2.22 states/eV/f.u.
**Size of the total moment**: 0.0000 μB per atom

Cell: 8.7090 8.7090 4.0671 Å, 90.00 90.00 90.00°
Fractional coordinates of all 10 atoms:
Ca 0.3367 0.1633 0.5000
Ca 0.8367 0.3367 0.5000
Ca 0.1633 0.6633 0.5000
Ca 0.6633 0.8367 0.5000
Tl 0.3631 0.8631 0.0000
Tl 0.1369 0.3631 0.0000
Tl 0.8631 0.6369 0.0000
Tl 0.6369 0.1369 0.0000
Y 0.5000 0.5000 0.0000
Y 0.0000 0.0000 0.0000

---

(12)
# Ca2YTl

A geometry-optimized Ca2YTl structure (PBE, the Alexandria database).

Computed properties:
**DOS(E_F)**: 3.76 states/eV/f.u.
**Size of the total moment**: 0.0000 μB per atom

Cell: 6.2223 6.2223 3.6587 Å, 90.00 90.00 111.74°
Fractional coordinates of all 4 atoms:
Tl 0.5000 0.0000 0.5000
Ca 0.5000 0.5000 0.0000
Ca 0.0000 0.0000 0.0000
Y 0.0000 0.5000 0.5000

---

(13)
# Ca2YTl

A geometry-optimized Ca2YTl structure (PBE, the Alexandria database).

Computed properties:
**DOS(E_F)**: 1.17 states/eV/f.u.
**Size of the total moment**: 0.0000 μB per atom

Cell: 4.8642 4.8658 5.2438 Å, 90.00 90.00 90.00°
Fractional coordinates of all 4 atoms:
Ca 0.0000 0.0000 0.0000
Ca 0.5000 0.5000 0.0000
Tl 0.5000 0.0000 0.5000
Y 0.0000 0.5000 0.5000

---

In the order shown, the computed energy relative to the elements values come out to -0.335; 0.056; -0.071; 0.275; -0.388; -0.098; -0.098; 0.212; -0.381; -0.428; -0.307; -0.076; -0.186 eV per atom.